Here is crystalline TaTc2Te at its relaxed geometry from Alexandria via LeMat-Bulk. Energies are from PBE.

a = 3.247 Å, b = 3.247 Å, c = 6.486 Å
α = 90.00°, β = 90.00°, γ = 90.00°
Element x y z (fractional)
1 Ta 0.000 0.000 0.000
2 Tc 0.500 0.500 0.240
3 Tc 0.500 0.500 0.760
4 Te 0.000 0.000 0.500

Summary:
Space-group type ... P4/mmm (123)
Crystal system ... tetragonal
Total magnetic moment ... 0.00 μB/f.u.
Total DFT energy (no corrections) ... -35.79 eV for the cell shown
Formation energy (no corrections) ... -15 meV/atom